(1)
## Ag4Te5 (GGA-PBE)

Data for a geometry-optimized Ag4Te5 structure.

Unit cell a=7.903 b=7.903 c=7.903 alpha=93.55 beta=93.55 gamma=151.18
Fractional positions:
Ag: 0.362 0.000 0.362
Ag: 0.638 0.000 0.638
Ag: 0.000 0.638 0.638
Ag: 0.000 0.362 0.362
Te: 0.000 0.000 0.000
Te: 0.324 0.676 0.000
Te: 0.676 0.324 0.000
Te: 0.676 0.676 0.352
Te: 0.324 0.324 0.648

- E_form (uncorrected) (eV/atom) = 0.22
- SG = I4/mmm

***

(2)
## RbMgW2 (GGA-PBE)

Data for a geometry-optimized RbMgW2 structure.

Unit cell a=4.774 b=4.774 c=11.256 alpha=77.76 beta=77.76 gamma=90.00
Fractional positions:
Mg: 0.500 0.500 0.000
Mg: 0.250 0.750 0.500
Rb: 0.000 0.000 0.000
Rb: 0.750 0.250 0.500
W: 0.345 0.125 0.250
W: 0.405 0.625 0.250
W: 0.375 0.655 0.750
W: 0.875 0.595 0.750

- excess energy over the best structure of this formula in the dataset (meV per atom) = 0
- energy of formation (eV per atom) = 1.96
- SG = I-42d

***

(3)
## HfVPdBr2 (GGA-PBE)

Data for a geometry-optimized HfVPdBr2 structure.

Unit cell a=5.010 b=4.960 c=5.010 alpha=90.00 beta=90.00 gamma=90.00
Fractional positions:
Hf: 0.500 0.500 0.500
Br: 0.000 0.000 0.500
Br: 0.500 0.000 0.000
Pd: 0.000 0.000 0.000
V: 0.000 0.500 0.000

- E_form (uncorrected) (eV/atom) = 0.93
- SG = P4/mmm

***

(4)
## Ba3Sr2Au4 (GGA-PBE)

Data for a geometry-optimized Ba3Sr2Au4 structure.

Unit cell a=4.716 b=8.152 c=10.280 alpha=76.05 beta=76.74 gamma=73.19
Fractional positions:
Ba: 0.000 0.000 0.000
Ba: 0.195 0.403 0.206
Ba: 0.805 0.597 0.794
Sr: 0.612 0.168 0.609
Sr: 0.388 0.832 0.391
Au: 0.794 0.104 0.309
Au: 0.206 0.896 0.691
Au: 0.404 0.299 0.893
Au: 0.596 0.701 0.107

- energy of formation (eV per atom) = -0.64
- SG = C2/m

***

(5)
## KGaGeO4 (GGA-PBE)

Data for a geometry-optimized KGaGeO4 structure.

Unit cell a=5.293 b=5.551 c=7.854 alpha=90.00 beta=117.79 gamma=90.00
Fractional positions:
K: 0.543 0.750 0.899
K: 0.457 0.250 0.101
Ga: 0.810 0.750 0.471
Ga: 0.190 0.250 0.529
Ge: 0.227 0.750 0.341
Ge: 0.773 0.250 0.659
O: 0.023 0.481 0.668
O: 0.977 0.981 0.332
O: 0.977 0.519 0.332
O: 0.023 0.019 0.668
O: 0.405 0.750 0.200
O: 0.595 0.250 0.800
O: 0.535 0.750 0.568
O: 0.465 0.250 0.432

- E_form (uncorrected) (eV/atom) = -1.66
- SG = P2_1/m

***

(6)
## DyZnCd2 (GGA-PBE)

Data for a geometry-optimized DyZnCd2 structure.

Unit cell a=4.592 b=6.438 c=6.075 alpha=90.01 beta=90.00 gamma=90.00
Fractional positions:
Dy: 0.750 0.411 0.750
Dy: 0.250 0.589 0.250
Zn: 0.750 0.268 0.250
Zn: 0.250 0.732 0.750
Cd: 0.750 0.858 0.002
Cd: 0.250 0.142 0.998
Cd: 0.750 0.858 0.498
Cd: 0.250 0.142 0.502

- energy of formation (eV per atom) = -0.25
- SG = Pmmn

***

(7)
## P2OsRu (GGA-PBE)

Data for a geometry-optimized P2OsRu structure.

Unit cell a=3.530 b=3.936 c=4.614 alpha=89.75 beta=74.84 gamma=72.54
Fractional positions:
P: 0.335 0.744 0.208
P: 0.983 0.537 0.775
Os: 0.373 0.924 0.703
Ru: 0.944 0.359 0.277

- excess energy over the best structure of this formula in the dataset (meV per atom) = 66
- energy of formation (eV per atom) = -0.28
- SG = P1

***

(8)
## Tb3Bi2Sb (GGA-PBE)

Data for a geometry-optimized Tb3Bi2Sb structure.

Unit cell a=4.459 b=6.305 c=7.730 alpha=114.07 beta=106.76 gamma=90.00
Fractional positions:
Tb: 0.837 0.337 0.175
Tb: 0.163 0.663 0.825
Tb: 0.500 0.000 0.500
Bi: 0.832 0.832 0.164
Bi: 0.168 0.168 0.836
Sb: 0.500 0.500 0.500

- E_form (uncorrected) (eV/atom) = -0.97
- SG = Immm

***

(9)
## HoTh3Fe2 (GGA-PBE)

Data for a geometry-optimized HoTh3Fe2 structure.

Unit cell a=6.725 b=7.066 c=7.385 alpha=105.07 beta=90.00 gamma=118.42
Fractional positions:
Ho: 0.242 0.000 0.250
Ho: 0.758 0.000 0.750
Th: 0.269 0.000 0.750
Th: 0.731 0.000 0.250
Th: 0.780 0.554 0.888
Th: 0.226 0.446 0.612
Th: 0.774 0.554 0.388
Th: 0.220 0.446 0.112
Fe: 0.380 0.751 0.437
Fe: 0.371 0.751 0.937
Fe: 0.629 0.249 0.063
Fe: 0.620 0.249 0.563

- energy of formation (eV per atom) = -0.06
- SG = C2/c

***

(10)
## PaBi2Pb (GGA-PBE)

Data for a geometry-optimized PaBi2Pb structure.

Unit cell a=4.532 b=4.532 c=8.244 alpha=74.05 beta=74.05 gamma=60.00
Fractional positions:
Pb: 0.500 0.500 0.500
Pa: 0.000 0.000 0.000
Bi: 0.255 0.255 0.234
Bi: 0.745 0.745 0.766

- excess energy over the best structure of this formula in the dataset (meV per atom) = 143
- energy of formation (eV per atom) = 0.04
- SG = R-3m

***

(11)
## Si2AsSe (GGA-PBE)

Data for a geometry-optimized Si2AsSe structure.

Unit cell a=3.228 b=4.643 c=4.769 alpha=90.00 beta=90.00 gamma=90.00
Fractional positions:
As: 0.500 0.000 0.500
Se: 0.000 0.500 0.500
Si: 0.000 0.000 0.000
Si: 0.500 0.500 0.000

- E_form (uncorrected) (eV/atom) = 0.53
- excess energy over the best structure of this formula in the dataset (meV per atom) = 548
- SG = Pmmm

***

(12)
## LaTb3Dy7 (GGA-PBE)

Data for a geometry-optimized LaTb3Dy7 structure.

Unit cell a=5.826 b=8.443 c=8.443 alpha=83.59 beta=110.22 gamma=110.22
Fractional positions:
La: 0.500 0.500 0.500
Tb: 0.000 0.793 0.207
Tb: 0.500 0.000 0.000
Tb: 0.000 0.207 0.793
Dy: 0.204 0.204 0.204
Dy: 0.290 0.982 0.597
Dy: 0.710 0.403 0.018
Dy: 0.290 0.597 0.982
Dy: 0.000 0.500 0.500
Dy: 0.710 0.018 0.403
Dy: 0.796 0.796 0.796

- excess energy over the best structure of this formula in the dataset (meV per atom) = 108
- energy of formation (eV per atom) = 0.25
- SG = Immm

***

(13)
## LiTcRu2 (GGA-PBE)

Data for a geometry-optimized LiTcRu2 structure.

Unit cell a=9.038 b=9.038 c=9.038 alpha=17.32 beta=17.32 gamma=17.32
Fractional positions:
Li: 0.750 0.750 0.750
Ru: 0.997 0.997 0.997
Ru: 0.503 0.503 0.503
Tc: 0.250 0.250 0.250

- excess energy over the best structure of this formula in the dataset (meV per atom) = 0
- energy of formation (eV per atom) = 0.10
- SG = R-3m

***

(14)
## LiScCl (GGA-PBE)

Data for a geometry-optimized LiScCl structure.

Unit cell a=3.370 b=3.370 c=6.323 alpha=90.00 beta=90.00 gamma=120.00
Fractional positions:
Cl: 0.000 0.000 0.997
Li: 0.333 0.667 0.301
Sc: 0.667 0.333 0.703

- E_form (uncorrected) (eV/atom) = -0.83
- excess energy over the best structure of this formula in the dataset (meV per atom) = 0
- SG = P3m1

***

(15)
## Mg15C (GGA-PBE)

Data for a geometry-optimized Mg15C structure.

Unit cell a=6.286 b=6.286 c=9.976 alpha=90.00 beta=90.00 gamma=120.00
Fractional positions:
Mg: 0.000 0.000 0.000
Mg: 0.990 0.495 0.500
Mg: 0.006 0.503 0.000
Mg: 0.505 0.495 0.500
Mg: 0.497 0.503 0.000
Mg: 0.505 0.010 0.500
Mg: 0.497 0.994 0.000
Mg: 0.160 0.320 0.271
Mg: 0.160 0.320 0.729
Mg: 0.160 0.840 0.271
Mg: 0.160 0.840 0.729
Mg: 0.680 0.840 0.271
Mg: 0.680 0.840 0.729
Mg: 0.667 0.333 0.248
Mg: 0.667 0.333 0.752
C: 0.000 0.000 0.500

- energy of formation (eV per atom) = 0.27
- SG = P-6m2

***

(16)
## RbMg (GGA-PBE)

Data for a geometry-optimized RbMg structure.

Unit cell a=4.207 b=4.215 c=11.044 alpha=90.09 beta=89.98 gamma=90.10
Fractional positions:
Rb: 0.598 0.804 0.407
Rb: 0.097 0.307 0.017
Mg: 0.093 0.309 0.658
Mg: 0.593 0.810 0.766

- energy of formation (eV per atom) = 0.19
- SG = P1

***

(17)
## AlAg2Pt (GGA-PBE)

Data for a geometry-optimized AlAg2Pt structure.

Unit cell a=9.278 b=9.278 c=9.278 alpha=17.88 beta=17.88 gamma=17.88
Fractional positions:
Ag: 0.997 0.997 0.997
Ag: 0.503 0.503 0.503
Pt: 0.750 0.750 0.750
Al: 0.250 0.250 0.250

- excess energy over the best structure of this formula in the dataset (meV per atom) = 337
- energy of formation (eV per atom) = -0.02
- SG = R-3m

***

(18)
## Eu3Si5S12 (GGA-PBE)

Data for a geometry-optimized Eu3Si5S12 structure.

Unit cell a=13.054 b=13.054 c=13.054 alpha=109.47 beta=109.47 gamma=109.47
Fractional positions:
Eu: 0.750 0.375 0.125
Eu: 0.875 0.750 0.125
Eu: 0.375 0.750 0.625
Eu: 0.250 0.125 0.375
Eu: 0.875 0.125 0.250
Eu: 0.375 0.625 0.250
Eu: 0.625 0.375 0.750
Eu: 0.125 0.875 0.750
Eu: 0.750 0.875 0.625
Eu: 0.625 0.250 0.375
Eu: 0.125 0.250 0.875
Eu: 0.250 0.625 0.875
Si: 0.125 0.375 0.250
Si: 0.000 0.500 0.000
Si: 0.000 0.000 0.000
Si: 0.375 0.250 0.125
Si: 0.500 0.000 0.500
Si: 0.500 0.500 0.000
Si: 0.125 0.750 0.375
Si: 0.750 0.125 0.875
Si: 0.750 0.625 0.375
Si: 0.375 0.125 0.750
Si: 0.625 0.875 0.250
Si: 0.500 0.500 0.500
Si: 0.500 0.000 0.000
Si: 0.000 0.000 0.500
Si: 0.250 0.375 0.625
Si: 0.250 0.875 0.125
Si: 0.000 0.500 0.500
Si: 0.875 0.250 0.625
Si: 0.625 0.750 0.875
Si: 0.875 0.625 0.750
S: 0.705 0.117 0.019
S: 0.314 0.519 0.402
S: 0.981 0.383 0.295
S: 0.519 0.205 0.117
S: 0.589 0.705 0.686
S: 0.981 0.598 0.186
S: 0.314 0.795 0.411
S: 0.098 0.911 0.117
S: 0.598 0.981 0.686
S: 0.705 0.589 0.186
S: 0.795 0.481 0.383
S: 0.814 0.902 0.019
S: 0.117 0.705 0.519
S: 0.383 0.402 0.089
S: 0.089 0.902 0.383
S: 0.411 0.117 0.598
S: 0.089 0.186 0.205
S: 0.481 0.686 0.098
S: 0.814 0.911 0.295
S: 0.117 0.411 0.098
S: 0.383 0.981 0.795
S: 0.598 0.617 0.411
S: 0.902 0.814 0.519
S: 0.795 0.314 0.911
S: 0.402 0.383 0.589
S: 0.098 0.186 0.481
S: 0.205 0.686 0.089
S: 0.186 0.089 0.705
S: 0.617 0.019 0.205
S: 0.883 0.589 0.902
S: 0.519 0.314 0.902
S: 0.589 0.883 0.402
S: 0.911 0.814 0.795
S: 0.911 0.098 0.617
S: 0.883 0.295 0.481
S: 0.186 0.098 0.981
S: 0.617 0.598 0.911
S: 0.402 0.019 0.314
S: 0.295 0.411 0.814
S: 0.205 0.519 0.617
S: 0.902 0.089 0.883
S: 0.686 0.205 0.589
S: 0.481 0.795 0.883
S: 0.019 0.402 0.814
S: 0.411 0.295 0.314
S: 0.019 0.617 0.705
S: 0.686 0.481 0.598
S: 0.295 0.883 0.981

- E_form (uncorrected) (eV/atom) = -0.95
- SG = Ia-3d

***

(19)
## HoThZn2 (GGA-PBE)

Data for a geometry-optimized HoThZn2 structure.

Unit cell a=3.593 b=5.090 c=10.286 alpha=90.00 beta=90.00 gamma=90.00
Fractional positions:
Ho: 0.500 0.250 0.880
Ho: 0.500 0.750 0.120
Th: 0.500 0.250 0.379
Th: 0.500 0.750 0.621
Zn: 0.000 0.250 0.122
Zn: 0.000 0.750 0.878
Zn: 0.000 0.250 0.643
Zn: 0.000 0.750 0.357

- energy of formation (eV per atom) = -0.25
- SG = Pmma

***

(20)
## LiMn2GaN (GGA-PBE)

Data for a geometry-optimized LiMn2GaN structure.

Unit cell a=3.794 b=3.794 c=4.046 alpha=90.00 beta=90.00 gamma=90.00
Fractional positions:
Mn: 0.000 0.500 0.000
Mn: 0.500 0.000 0.000
Li: 0.000 0.000 0.500
Ga: 0.500 0.500 0.500
N: 0.000 0.000 0.000

- E_form (uncorrected) (eV/atom) = -0.33
- SG = P4/mmm

***

| no. | size of the total moment (μB/f.u.) |
| --- | --- |
| 1 | 0.00 |
| 2 | 0.00 |
| 3 | 2.77 |
| 4 | 0.00 |
| 5 | 0.00 |
| 6 | 0.00 |
| 7 | 0.00 |
| 8 | 0.00 |
| 9 | 0.00 |
| 10 | 1.01 |
| 11 | 0.00 |
| 12 | 0.00 |
| 13 | 0.00 |
| 14 | 1.01 |
| 15 | 0.00 |
| 16 | 0.00 |
| 17 | 0.00 |
| 18 | 19.73 |
| 19 | 0.00 |
| 20 | 3.38 |